1.
# TePt2Au | Alexandria via LeMat-Bulk | PBE-GGA | relaxed
data_TePt2Au
_symmetry_space_group_name_H-M 'P 1'
_symmetry_Int_Tables_number 1
_cell_length_a 3.942
_cell_length_b 4.700
_cell_length_c 4.700
_cell_angle_alpha 69.46
_cell_angle_beta 90.00
_cell_angle_gamma 90.00
loop_
_symmetry_equiv_pos_as_xyz
'x,y,z'
loop_
_atom_site_label
_atom_site_type_symbol
_atom_site_fract_x
_atom_site_fract_y
_atom_site_fract_z
Te1 Te 0.000 0.000 0.000
Pt1 Pt 0.000 0.540 0.540
Pt2 Pt 0.500 0.772 0.772
Au1 Au 0.500 0.292 0.292
# DOS(E_F): 0.24 states/eV per atom
# Formation energy from raw total energies: -0.06 eV per atom

***

2.
# TePtAu2 | Alexandria via LeMat-Bulk | PBE-GGA | relaxed
data_TePtAu2
_symmetry_space_group_name_H-M 'P 1'
_symmetry_Int_Tables_number 1
_cell_length_a 5.202
_cell_length_b 5.202
_cell_length_c 3.122
_cell_angle_alpha 90.00
_cell_angle_beta 90.00
_cell_angle_gamma 113.33
loop_
_symmetry_equiv_pos_as_xyz
'x,y,z'
loop_
_atom_site_label
_atom_site_type_symbol
_atom_site_fract_x
_atom_site_fract_y
_atom_site_fract_z
Te1 Te 0.000 0.000 0.000
Pt1 Pt 0.500 0.500 0.000
Au1 Au 0.000 0.500 0.500
Au2 Au 0.500 0.000 0.500
# DOS(E_F): 0.45 states/eV per atom
# Formation energy from raw total energies: 0.21 eV per atom

***

3.
# TePtAu2 | Alexandria via LeMat-Bulk | PBE-GGA | relaxed
data_TePtAu2
_symmetry_space_group_name_H-M 'P 1'
_symmetry_Int_Tables_number 1
_cell_length_a 3.750
_cell_length_b 3.750
_cell_length_c 5.574
_cell_angle_alpha 90.00
_cell_angle_beta 90.00
_cell_angle_gamma 90.00
loop_
_symmetry_equiv_pos_as_xyz
'x,y,z'
loop_
_atom_site_label
_atom_site_type_symbol
_atom_site_fract_x
_atom_site_fract_y
_atom_site_fract_z
Te1 Te 0.000 0.000 0.000
Pt1 Pt 0.000 0.000 0.500
Au1 Au 0.500 0.500 0.258
Au2 Au 0.500 0.500 0.742
# DOS(E_F): 0.40 states/eV per atom
# Formation energy from raw total energies: 0.16 eV per atom

***

4.
# TePtAu2 | Alexandria via LeMat-Bulk | PBE-GGA | relaxed
data_TePtAu2
_symmetry_space_group_name_H-M 'P 1'
_symmetry_Int_Tables_number 1
_cell_length_a 4.020
_cell_length_b 3.792
_cell_length_c 5.514
_cell_angle_alpha 90.00
_cell_angle_beta 102.29
_cell_angle_gamma 90.00
loop_
_symmetry_equiv_pos_as_xyz
'x,y,z'
loop_
_atom_site_label
_atom_site_type_symbol
_atom_site_fract_x
_atom_site_fract_y
_atom_site_fract_z
Te1 Te 0.000 0.000 0.000
Pt1 Pt 0.500 0.500 0.095
Au1 Au 0.389 0.500 0.577
Au2 Au 0.863 0.000 0.482
# DOS(E_F): 0.50 states/eV per atom
# Formation energy from raw total energies: 0.03 eV per atom